# 1
Material: TbEr2Te5
Method: DFT, PBE
State: relaxed

Summary:
Calculated volume = 28.99 Å³ per atom
Raw formation energy = -1.13 eV per atom

a b c (Å): 8.057 8.057 14.293
angles (deg): 90.00 90.00 90.00
Space group I4/mcm (No. 140)
Asymmetric unit:
Tb 0.000 0.000 0.250 (multiplicity 4)
Er 0.150 0.350 0.000 (multiplicity 8)
Te 0.000 0.000 0.000 (multiplicity 4)
Te 0.160 0.340 0.352 (multiplicity 16)


# 2
Material: TbEr4Te5
Method: DFT, PBE
State: relaxed

Summary:
Polymorph energy (0 for the lowest one) = 0.11 kcal/mol of atoms
Calculated volume = 28.67 Å³ per atom
Raw formation energy = -1.23 eV per atom

a b c (Å): 9.672 9.672 6.128
angles (deg): 90.00 90.00 90.00
Space group I4/m (No. 87)
Asymmetric unit:
Tb 0.000 0.000 0.000 (multiplicity 2)
Er 0.105 0.707 0.500 (multiplicity 8)
Te 0.000 0.000 0.500 (multiplicity 2)
Te 0.097 0.694 0.000 (multiplicity 8)


# 3
Material: TbErTe3
Method: DFT, PBE
State: relaxed

Summary:
Calculated volume = 35.78 Å³ per atom
Raw formation energy = -1.36 eV per atom

a b c (Å): 7.6741 7.6741 21.0464
angles (deg): 90.00 90.00 120.00
Space group R-3 (No. 148, hexagonal axes)
Asymmetric unit:
Tb 0.0000 0.0000 0.1569 (multiplicity 6)
Er 0.0000 0.0000 0.3424 (multiplicity 6)
Te 0.0025 0.6872 0.2508 (multiplicity 18)


# 4
Material: Tb4Er2Te9
Method: DFT, PBE
State: relaxed

Summary:
Calculated volume = 36.00 Å³ per atom
Raw formation energy = -1.36 eV per atom

a b c (Å): 7.6914 7.6914 21.0782
angles (deg): 90.00 90.00 120.00
Space group P-3c1 (No. 165)
Asymmetric unit:
Tb 0.3333 0.6667 0.0099 (multiplicity 4)
Tb 0.3333 0.6667 0.3235 (multiplicity 4)
Er 0.0000 0.0000 0.1576 (multiplicity 4)
Te 0.0000 0.3110 0.2500 (multiplicity 6)
Te 0.0199 0.3498 0.9164 (multiplicity 12)


# 5
Material: TbErTe
Method: DFT, PBE
State: relaxed

Summary:
Polymorph energy (0 for the lowest one) = 0.00 kcal/mol of atoms
Calculated volume = 27.90 Å³ per atom
Raw formation energy = -0.84 eV per atom

a b c (Å): 8.435 4.026 14.789
angles (deg): 90.00 90.82 90.00
Space group P2_1/m (No. 11)
Asymmetric unit:
Tb 0.036 0.250 0.291 (multiplicity 2)
Tb 0.358 0.750 0.908 (multiplicity 2)
Tb 0.457 0.750 0.613 (multiplicity 2)
Er 0.004 0.250 0.904 (multiplicity 2)
Er 0.136 0.250 0.547 (multiplicity 2)
Er 0.361 0.750 0.207 (multiplicity 2)
Te 0.261 0.750 0.409 (multiplicity 2)
Te 0.268 0.250 0.748 (multiplicity 2)
Te 0.272 0.250 0.058 (multiplicity 2)


# 6
Material: Tb2ErTe3
Method: DFT, PBE
State: relaxed

Summary:
Calculated volume = 29.17 Å³ per atom
Raw formation energy = -1.28 eV per atom

a b c (Å): 4.384 6.134 13.013
angles (deg): 90.00 90.00 90.00
Space group Immm (No. 71)
Asymmetric unit:
Tb 0.000 0.000 0.171 (multiplicity 4)
Er 0.000 0.000 0.500 (multiplicity 2)
Te 0.000 0.500 0.163 (multiplicity 4)
Te 0.000 0.500 0.500 (multiplicity 2)


# 7
Material: Tb2Er4Te9
Method: DFT, PBE
State: relaxed

Summary:
Calculated volume = 35.55 Å³ per atom
Raw formation energy = -1.35 eV per atom

a b c (Å): 7.6577 7.6577 21.0021
angles (deg): 90.00 90.00 120.00
Space group P-3c1 (No. 165)
Asymmetric unit:
Tb 0.0000 0.0000 0.1568 (multiplicity 4)
Er 0.3333 0.6667 0.1757 (multiplicity 4)
Er 0.3333 0.6667 0.4911 (multiplicity 4)
Te 0.0000 0.3175 0.2500 (multiplicity 6)
Te 0.0185 0.3555 0.5832 (multiplicity 12)


# 8
Material: TbEr4Te5
Method: DFT, PBE
State: relaxed

Summary:
Polymorph energy (0 for the lowest one) = 0.00 kcal/mol of atoms
Calculated volume = 28.75 Å³ per atom
Raw formation energy = -1.23 eV per atom

a b c (Å): 4.285 4.285 31.309
angles (deg): 90.00 90.00 90.00
Space group I4/mmm (No. 139)
Asymmetric unit:
Tb 0.000 0.000 0.000 (multiplicity 2)
Er 0.000 0.000 0.210 (multiplicity 4)
Er 0.000 0.000 0.407 (multiplicity 4)
Te 0.000 0.000 0.104 (multiplicity 4)
Te 0.000 0.000 0.307 (multiplicity 4)
Te 0.000 0.000 0.500 (multiplicity 2)


# 9
Material: Tb2Er3Te6
Method: DFT, PBE
State: relaxed

Summary:
Calculated volume = 30.97 Å³ per atom
Raw formation energy = -1.37 eV per atom

a b c (Å): 7.501 12.913 7.469
angles (deg): 90.00 109.62 90.00
Space group C2/m (No. 12)
Asymmetric unit:
Tb 0.000 0.164 0.000 (multiplicity 4)
Er 0.000 0.000 0.500 (multiplicity 2)
Er 0.000 0.329 0.500 (multiplicity 4)
Te 0.238 0.500 0.750 (multiplicity 4)
Te 0.242 0.339 0.246 (multiplicity 8)


# 10
Material: TbEr3Te6
Method: DFT, PBE
State: relaxed

Summary:
Polymorph energy (0 for the lowest one) = 1.19 kcal/mol of atoms
Calculated volume = 36.21 Å³ per atom
Raw formation energy = -1.31 eV per atom

a b c (Å): 12.7584 12.7584 15.4109
angles (deg): 90.00 90.00 120.00
Space group R-3 (No. 148, hexagonal axes)
Asymmetric unit:
Tb 0.0000 0.0000 0.0000 (multiplicity 3)
Tb 0.0000 0.0000 0.5000 (multiplicity 3)
Er 0.0570 0.2748 0.2000 (multiplicity 18)
Te 0.0157 0.2109 0.3931 (multiplicity 18)
Te 0.0339 0.1974 0.8741 (multiplicity 18)


# 11
Material: TbEr2Te
Method: DFT, PBE
State: relaxed

Summary:
Polymorph energy (0 for the lowest one) = 0.00 kcal/mol of atoms
Calculated volume = 28.92 Å³ per atom
Raw formation energy = -0.64 eV per atom

a b c (Å): 3.920 12.054 9.794
angles (deg): 90.00 90.00 90.00
Space group Cmcm (No. 63)
Asymmetric unit:
Tb 0.000 0.055 0.250 (multiplicity 4)
Er 0.000 0.365 0.036 (multiplicity 8)
Te 0.000 0.234 0.750 (multiplicity 4)


# 12
Material: Tb3Er4Te8
Method: DFT, PBE
State: relaxed

Summary:
Calculated volume = 30.56 Å³ per atom
Raw formation energy = -1.34 eV per atom

a b c (Å): 12.236 12.239 8.654
angles (deg): 90.00 134.98 90.00
Space group C2/m (No. 12)
Asymmetric unit:
Tb 0.000 0.000 0.000 (multiplicity 2)
Tb 0.250 0.250 0.000 (multiplicity 4)
Er 0.000 0.500 0.000 (multiplicity 2)
Er 0.000 0.500 0.500 (multiplicity 2)
Er 0.250 0.250 0.500 (multiplicity 4)
Te 0.000 0.246 0.500 (multiplicity 4)
Te 0.000 0.251 0.000 (multiplicity 4)
Te 0.247 0.000 0.503 (multiplicity 4)
Te 0.247 0.000 0.991 (multiplicity 4)